# 1
Computed, not measured: crystalline Cd2H2SO6 at its relaxed geometry at the GGA-PBEsol level of DFT.

Unit cell a=6.4646 b=7.0111 c=7.0111 alpha=113.34 beta=112.79 gamma=67.21
Element x y z (fractional)
Cd 0.8191 0.1463 0.6596
Cd 0.6809 0.6596 0.1463
Cd 0.1809 0.8537 0.3404
Cd 0.3191 0.3404 0.8537
O 0.0948 0.5377 0.3151
O 0.9052 0.4623 0.6849
O 0.2939 0.6835 0.0445
O 0.7061 0.3165 0.9555
O 0.3983 0.2430 0.1683
O 0.8983 0.8317 0.7570
O 0.1017 0.1683 0.2430
O 0.7939 0.9555 0.3165
O 0.4052 0.3151 0.5377
O 0.2061 0.0445 0.6835
O 0.6017 0.7570 0.8317
O 0.5948 0.6849 0.4623
S 0.7500 0.6849 0.6849
S 0.2500 0.3151 0.3151
H 0.6753 0.0603 0.2381
H 0.8247 0.2381 0.0603
H 0.1753 0.7619 0.9397
H 0.3247 0.9397 0.7619

Space-group type ... C2/c (15)

# 2
Computed, not measured: crystalline Nb2Ga2Pt at its relaxed geometry at the GGA-PBEsol level of DFT.

Unit cell a=3.9689 b=6.3513 c=6.3513 alpha=90.00 beta=90.00 gamma=90.00
Element x y z (fractional)
Ga 0.0000 0.6365 0.1365
Ga 0.0000 0.3635 0.8635
Ga 0.0000 0.8635 0.6365
Ga 0.0000 0.1365 0.3635
Pt 0.0000 0.5000 0.5000
Pt 0.0000 0.0000 0.0000
Nb 0.5000 0.6636 0.8364
Nb 0.5000 0.1636 0.6636
Nb 0.5000 0.3364 0.1636
Nb 0.5000 0.8364 0.3364

Space-group type ... P4/mbm (127)
E_form ... -0.441 eV/atom

# 3
Computed, not measured: crystalline TaCoPt2 at its relaxed geometry at the GGA-PBEsol level of DFT.

Unit cell a=2.7454 b=4.7524 c=4.7524 alpha=110.62 beta=90.00 gamma=90.00
Each line ends with the local moment (μB).
Element x y z (fractional)
Pt 0.0000 0.5000 0.0000  0.13
Pt 0.0000 0.0000 0.5000  0.13
Co 0.5000 0.5000 0.5000  1.62
Ta 0.5000 0.0000 0.0000  -0.01

Excess energy over the best structure of this formula in the dataset ... 218 meV/atom
Space-group type ... Cmmm (65)
E_form ... -0.356 eV/atom

# 4
Computed, not measured: crystalline YTa2As at its relaxed geometry at the GGA-PBEsol level of DFT.

Unit cell a=3.9718 b=3.9718 c=5.6612 alpha=110.54 beta=110.54 gamma=90.00
Element x y z (fractional)
Ta 0.2500 0.7500 0.5000
Ta 0.7500 0.2500 0.5000
Y 0.5000 0.5000 0.0000
As 0.0000 0.0000 0.0000

Space-group type ... I4/mmm (139)
E_form ... 0.033 eV/atom

# 5
Computed, not measured: crystalline AsPF2 at its relaxed geometry at the GGA-PBEsol level of DFT.

Unit cell a=3.6330 b=3.6330 c=8.1362 alpha=102.90 beta=102.90 gamma=90.00
Element x y z (fractional)
F 0.1250 0.1281 0.7500
F 0.8719 0.3750 0.2500
F 0.3781 0.8750 0.2500
F 0.6250 0.6219 0.7500
As 0.2500 0.7500 0.5000
As 0.0000 0.0000 0.0000
P 0.7500 0.2500 0.5000
P 0.5000 0.5000 0.0000

Energy relative to the elements, uncorrected ... -3.103 eV per formula unit
Excess energy over the best structure of this formula in the dataset ... 0 meV/atom
Space-group type ... I-42d (122)

# 6
Computed, not measured: crystalline LaZrSc2 at its relaxed geometry at the GGA-PBEsol level of DFT.

Unit cell a=3.3327 b=4.5196 c=6.6728 alpha=90.00 beta=90.00 gamma=90.00
Element x y z (fractional)
La 0.5000 0.5000 0.7433
Zr 0.0000 0.0000 0.4814
Sc 0.5000 0.5000 0.2574
Sc 0.0000 0.0000 0.0179

Excess energy over the best structure of this formula in the dataset ... 45 meV/atom
Space-group type ... Pmm2 (25)
E_form ... 0.099 eV/atom

# 7
Computed, not measured: crystalline ScTcPO2 at its relaxed geometry at the GGA-PBEsol level of DFT.

Unit cell a=3.8387 b=3.8387 c=5.4414 alpha=90.00 beta=90.00 gamma=90.00
Each line ends with the local moment (μB).
Element x y z (fractional)
O 0.0000 0.5000 0.0000  0.35
O 0.5000 0.0000 0.0000  0.35
Tc 0.5000 0.5000 0.5000  3.21
P 0.0000 0.0000 0.5000  -0.05
Sc 0.0000 0.0000 0.0000  -0.02

Energy relative to the elements, uncorrected ... -2.450 eV per formula unit
Space-group type ... P4/mmm (123)

# 8
Computed, not measured: crystalline Fe2TcNi at its relaxed geometry at the GGA-PBEsol level of DFT.

Unit cell a=3.5586 b=3.5586 c=4.3460 alpha=114.17 beta=114.17 gamma=90.00
Each line ends with the local moment (μB).
Element x y z (fractional)
Fe 0.7500 0.2500 0.5000  1.94
Fe 0.5000 0.5000 0.0000  0.97
Ni 0.0000 0.0000 0.0000  0.12
Tc 0.2500 0.7500 0.5000  -0.22

Space-group type ... I-4m2 (119)
E_form ... 0.040 eV/atom

These records have electronic total energy values of -5.353; -7.498; -8.910; -9.224; -4.464; -6.813; -7.322; -8.798 eV per atom, in the order they appear.